Entry 1:
TiNbCd | PBE | relaxed

abc: 7.3728 7.3728 3.6151
angles: 90.00 90.00 145.24
Closest atoms and distances in Å follow each position.
Atoms (fractional coordinates):
Ti1 0.0772 0.9228 0.7500  2 Ti 2.83, 6 Nb 2.85-3.07, 2 Cd 3.03
Ti2 0.9228 0.0772 0.2500  2 Ti 2.83, 6 Nb 2.85-3.07, 2 Cd 3.03
Nb1 0.4254 0.5746 0.7500  2 Nb 2.77, 6 Ti 2.85-3.07, 2 Cd 3.06
Nb2 0.5746 0.4254 0.2500  2 Nb 2.77, 6 Ti 2.85-3.07, 2 Cd 3.06
Cd1 0.2498 0.7502 0.2500  4 Cd 2.85, 2 Ti 3.03, 2 Nb 3.06
Cd2 0.7502 0.2498 0.7500  4 Cd 2.85, 2 Ti 3.03, 2 Nb 3.06

Results
Formation enthalpy at 0 K = 9.8 meV per atom
SG = Cmcm (63)
DOS(E_F) = 0.97 states/eV per atom
Energy above the most stable polymorph in this dataset = 1.05 kcal/mol of atoms
Volume = 18.674 Å³/atom

Entry 2:
ZnTc2Mo | PBE | relaxed

abc: 2.7747 2.7747 7.7184
angles: 90.00 90.00 90.00
Closest atoms and distances in Å follow each position.
Atoms (fractional coordinates):
Zn1 0.0000 0.0000 0.0000  4 Tc 2.75, 4 Zn 2.77, 4 Mo 2.80
Tc1 0.0000 0.0000 0.5204  8 Tc 2.65-2.77, 4 Mo 2.82
Tc2 0.5000 0.5000 0.7506  8 Tc 2.65-2.77, 4 Zn 2.75
Mo1 0.5000 0.5000 0.2584  4 Mo 2.77, 4 Zn 2.80, 4 Tc 2.82

Results
Formation enthalpy at 0 K = 105.3 meV per atom
SG = P4mm (99)
DOS(E_F) = 0.89 states/eV per atom
Volume = 14.856 Å³/atom

Entry 3:
Hf5Ge3 | PBE | relaxed

abc: 7.9629 7.9629 7.9629
angles: 127.65 127.65 77.19
Closest atoms and distances in Å follow each position.
Atoms (fractional coordinates):
Hf1 0.0000 0.0000 0.0000  4 Ge 2.72
Hf2 0.0053 0.5053 0.8159  5 Ge 2.77-2.91, 1 Hf 3.04
Hf3 0.1894 0.0053 0.5000  5 Ge 2.77-2.91, 1 Hf 3.04
Hf4 0.3106 0.8106 0.8159  5 Ge 2.77-2.91, 1 Hf 3.04
Hf5 0.4947 0.3106 0.5000  5 Ge 2.77-2.91, 1 Hf 3.04
Hf6 0.5000 0.5000 0.0000  4 Ge 2.72
Hf7 0.5053 0.6894 0.5000  5 Ge 2.77-2.91, 1 Hf 3.04
Hf8 0.6894 0.1894 0.1841  5 Ge 2.77-2.91, 1 Hf 3.04
Hf9 0.8106 0.9947 0.5000  5 Ge 2.77-2.91, 1 Hf 3.04
Hf10 0.9947 0.4947 0.1841  5 Ge 2.77-2.91, 1 Hf 3.04
Ge1 0.1392 0.3608 0.5000  8 Hf 2.72-2.83, 1 Ge 2.77
Ge2 0.2500 0.2500 0.0000  10 Hf 2.91-3.11
Ge3 0.3608 0.8608 0.2216  8 Hf 2.72-2.83, 1 Ge 2.77
Ge4 0.6392 0.1392 0.7784  8 Hf 2.72-2.83, 1 Ge 2.77
Ge5 0.7500 0.7500 0.0000  10 Hf 2.91-3.11
Ge6 0.8608 0.6392 0.5000  8 Hf 2.72-2.83, 1 Ge 2.77

Results
Formation enthalpy at 0 K = -631.1 meV per atom
SG = I4/mcm (140)
DOS(E_F) = 0.88 states/eV per atom
Energy above the most stable polymorph in this dataset = 1.25 kcal/mol of atoms
Volume = 19.195 Å³/atom

Entry 4:
Cs12KCd5 | PBE | relaxed

abc: 12.0729 12.0729 12.0729
angles: 112.26 111.26 104.99
Closest atoms and distances in Å follow each position.
Atoms (fractional coordinates):
Cs1 0.0204 0.2165 0.8039  2 Cd 4.12-4.16
Cs2 0.1807 0.2833 0.4639  3 Cd 4.10-4.54
Cs3 0.1807 0.7167 0.8974  3 Cd 4.10-4.54
Cs4 0.3192 0.0093 0.6900  3 Cd 3.99-4.09
Cs5 0.3192 0.6292 0.3100  3 Cd 3.99-4.09
Cs6 0.4125 0.2165 0.1961  2 Cd 4.12-4.16
Cs7 0.5875 0.7835 0.8039  2 Cd 4.12-4.16
Cs8 0.6808 0.3708 0.6900  3 Cd 3.99-4.09
Cs9 0.6808 0.9907 0.3100  3 Cd 3.99-4.09
Cs10 0.8193 0.2833 0.1026  3 Cd 4.10-4.54
Cs11 0.8193 0.7167 0.5361  3 Cd 4.10-4.54
Cs12 0.9796 0.7835 0.1961  2 Cd 4.12-4.16
K1 0.5000 0.5000 0.0000  12 Cs 4.95-5.24
Cd1 0.0000 0.0000 0.0000  8 Cs 4.16-4.54
Cd2 0.1024 0.6024 0.5000  1 Cd 3.01
Cd3 0.3885 0.0000 0.3885  1 Cd 3.04
Cd4 0.6115 0.0000 0.6115  1 Cd 3.04
Cd5 0.8976 0.3976 0.5000  1 Cd 3.01

Results
Formation enthalpy at 0 K = -15.7 meV per atom
SG = Immm (71)
DOS(E_F) = 0.86 states/eV per atom
Volume = 74.908 Å³/atom

Entry 5:
LaHBr | PBE | relaxed

abc: 4.6176 4.6176 7.2367
angles: 108.54 108.54 89.97
Closest atoms and distances in Å follow each position.
Atoms (fractional coordinates):
La1 0.1537 0.1537 0.3075  4 H 2.62
La2 0.8463 0.8463 0.6925  4 H 2.62
H1 0.2501 0.7499 0.5000  4 La 2.62
H2 0.7499 0.2501 0.5000  4 La 2.62
Br1 0.0000 0.5000 0.0000  4 La 3.04-3.05, 2 H 3.23, 4 Br 3.26-3.27
Br2 0.5000 0.0000 0.0000  4 La 3.04-3.05, 2 H 3.23, 4 Br 3.26-3.27

Results
SG = C2/m (12)
DOS(E_F) = 0.46 states/eV per atom
Volume = 22.972 Å³/atom
E = -4.331 eV per atom

Entry 6:
CdNi2Se | PBE | relaxed

abc: 6.3098 6.3098 6.3098
angles: 149.66 148.69 44.16
Closest atoms and distances in Å follow each position.
Atoms (fractional coordinates):
Cd1 0.0000 0.0000 0.0000  6 Ni 2.75-2.89
Ni1 0.2033 0.7033 0.5000  4 Se 2.41, 2 Ni 2.65
Ni2 0.3809 0.3809 0.0000  2 Se 2.38, 2 Ni 2.65
Se1 0.7388 0.2388 0.5000  6 Ni 2.38-2.41

Results
ΔE_f (raw) = 52.7 meV per atom
SG = Imm2 (44)
DOS(E_F) = 0.80 states/eV per atom
Energy above the most stable polymorph in this dataset = 2.01 kcal/mol of atoms
Volume = 16.440 Å³/atom

Entry 7:
Li4CePd | PBE | relaxed

abc: 5.3108 5.3108 5.3108
angles: 60.00 60.00 60.00
Closest atoms and distances in Å follow each position.
Atoms (fractional coordinates):
Li1 0.3780 0.3780 0.3780  6 Li 2.59-2.72
Li2 0.3780 0.3780 0.8659  6 Li 2.59-2.72
Li3 0.3780 0.8659 0.3780  6 Li 2.59-2.72
Li4 0.8659 0.3780 0.3780  6 Li 2.59-2.72
Ce1 0.0000 0.0000 0.0000  12 Li 3.12, 4 Pd 3.25
Pd1 0.7500 0.7500 0.7500  12 Li 3.11, 4 Ce 3.25

Results
Formation enthalpy at 0 K = -33.2 meV per atom
SG = F-43m (216)
DOS(E_F) = 1.55 states/eV per atom
Volume = 17.653 Å³/atom

Entry 8:
NaHS2N | PBE | relaxed

abc: 5.0963 5.0963 2.5548
angles: 90.00 90.00 90.00
Closest atoms and distances in Å follow each position.
Atoms (fractional coordinates):
Na1 0.0000 0.0000 0.0000  2 Na 2.55, 8 S 2.85
H1 0.5000 0.5000 0.5000  2 N 1.28
S1 0.0000 0.5000 0.5000  2 H 2.55, 2 S 2.55, 4 Na 2.85, 4 N 2.85
S2 0.5000 0.0000 0.5000  2 H 2.55, 2 S 2.55, 4 Na 2.85, 4 N 2.85
N1 0.5000 0.5000 0.0000  2 H 1.28

Results
SG = P4/mmm (123)
DOS(E_F) = 0.67 states/eV per atom
Energy above the most stable polymorph in this dataset = 0.00 kcal/mol of atoms
Volume = 13.271 Å³/atom

Entry 9:
HoErAlZn | PBE | relaxed

abc: 5.0433 5.0433 5.0433
angles: 60.00 60.00 60.00
Closest atoms and distances in Å follow each position.
Atoms (fractional coordinates):
Ho1 0.0000 0.0000 0.0000  4 Al 3.09, 4 Zn 3.09
Er1 0.5000 0.5000 0.5000  4 Al 3.09, 4 Zn 3.09
Al1 0.2500 0.2500 0.2500  4 Ho 3.09, 4 Er 3.09
Zn1 0.7500 0.7500 0.7500  4 Ho 3.09, 4 Er 3.09

Results
Formation enthalpy at 0 K = -376.4 meV per atom
SG = F-43m (216)
DOS(E_F) = 0.72 states/eV per atom
Energy above the most stable polymorph in this dataset = 0.17 kcal/mol of atoms
Volume = 22.676 Å³/atom

Entry 10:
KTi2Ru | PBE | relaxed

abc: 4.6857 4.6857 4.6857
angles: 60.00 60.00 60.00
Closest atoms and distances in Å follow each position.
Atoms (fractional coordinates):
K1 0.0000 0.0000 0.0000  8 Ti 2.87
Ti1 0.2500 0.2500 0.2500  4 Ru 2.87, 4 K 2.87
Ti2 0.7500 0.7500 0.7500  4 Ru 2.87, 4 K 2.87
Ru1 0.5000 0.5000 0.5000  8 Ti 2.87

Results
Formation enthalpy at 0 K = 794.4 meV per atom
SG = Fm-3m (225)
DOS(E_F) = 1.56 states/eV per atom
Energy above the most stable polymorph in this dataset = 0.00 kcal/mol of atoms
Volume = 18.186 Å³/atom

Entry 11:
Sr4Ag3Ge | PBE | relaxed

abc: 4.5013 4.7344 11.8609
angles: 90.00 90.00 90.00
Closest atoms and distances in Å follow each position.
Atoms (fractional coordinates):
Sr1 0.0000 0.0000 0.0000  2 Ge 3.31, 5 Ag 3.36-3.54
Sr2 0.0000 0.5000 0.2687  3 Ag 3.28-3.47, 4 Ge 3.35
Sr3 0.5000 0.0000 0.4836  1 Ge 3.31, 6 Ag 3.39-3.43
Sr4 0.5000 0.5000 0.7753  7 Ag 3.38-3.47
Ag1 0.0000 0.0000 0.7015  2 Ag 2.89
Ag2 0.0000 0.5000 0.5614  2 Ag 2.89
Ag3 0.5000 0.5000 0.0679  2 Ge 2.87
Ge1 0.5000 0.0000 0.2045  2 Ag 2.87

Results
Formation enthalpy at 0 K = -355.6 meV per atom
SG = Pmm2 (25)
DOS(E_F) = 0.80 states/eV per atom
Volume = 31.596 Å³/atom

Entry 12:
BeSn | PBE | relaxed

abc: 4.0208 4.0208 4.0208
angles: 60.00 60.00 60.00
Closest atoms and distances in Å follow each position.
Atoms (fractional coordinates):
Be1 0.0000 0.0000 0.0000  4 Sn 2.46
Sn1 0.7500 0.7500 0.7500  4 Be 2.46

Results
Formation enthalpy at 0 K = 707.4 meV per atom
SG = F-43m (216)
DOS(E_F) = 0.71 states/eV per atom
Energy above the most stable polymorph in this dataset = 11.13 kcal/mol of atoms
Volume = 22.983 Å³/atom

Entry 13:
Ba2Ca2Cu | PBE | relaxed

abc: 7.9304 7.9304 6.6778
angles: 90.00 90.00 90.00
Closest atoms and distances in Å follow each position.
Atoms (fractional coordinates):
Ba1 0.1767 0.3233 0.0000  2 Ca 3.78, 5 Ba 3.96-4.13
Ba2 0.3233 0.8233 0.0000  2 Ca 3.78, 5 Ba 3.96-4.13
Ba3 0.6767 0.1767 0.0000  2 Ca 3.78, 5 Ba 3.96-4.13
Ba4 0.8233 0.6767 0.0000  2 Ca 3.78, 5 Ba 3.96-4.13
Ca1 0.1650 0.6650 0.5000  2 Cu 2.96
Ca2 0.3350 0.1650 0.5000  2 Cu 2.96
Ca3 0.6650 0.8350 0.5000  2 Cu 2.96
Ca4 0.8350 0.3350 0.5000  2 Cu 2.96
Cu1 0.0000 0.0000 0.5000  4 Ca 2.96
Cu2 0.5000 0.5000 0.5000  4 Ca 2.96

Results
Formation enthalpy at 0 K = 160.4 meV per atom
SG = P4/mbm (127)
DOS(E_F) = 1.87 states/eV per atom
Volume = 41.997 Å³/atom

Entry 14:
Nd3GaTeCl | PBE | relaxed

abc: 8.9311 4.2403 9.9570
angles: 90.00 98.78 90.00
Closest atoms and distances in Å follow each position.
Atoms (fractional coordinates):
Nd1 0.1466 0.2500 0.4005  2 Cl 2.81, 1 Ga 3.12
Nd2 0.1607 0.2500 0.7963  2 Te 3.13, 3 Ga 3.15-3.21
Nd3 0.3112 0.7500 0.1110  1 Cl 2.91, 2 Ga 3.17, 2 Te 3.20
Nd4 0.6888 0.2500 0.8890  1 Cl 2.91, 2 Ga 3.17, 2 Te 3.20
Nd5 0.8393 0.7500 0.2037  2 Te 3.13, 3 Ga 3.15-3.21
Nd6 0.8534 0.7500 0.5995  2 Cl 2.81, 1 Ga 3.12
Ga1 0.0452 0.2500 0.0863  2 Ga 2.77
Ga2 0.9548 0.7500 0.9137  2 Ga 2.77
Te1 0.4200 0.7500 0.8134  5 Nd 3.13-3.26
Te2 0.5800 0.2500 0.1866  5 Nd 3.13-3.26
Cl1 0.3538 0.7500 0.4063  3 Nd 2.81-2.91
Cl2 0.6462 0.2500 0.5937  3 Nd 2.81-2.91

Results
ΔE_f (raw) = -1075.3 meV per atom
SG = P2_1/m (11)
DOS(E_F) = 0.77 states/eV per atom
Volume = 31.054 Å³/atom

Entry 15:
Th6Ru3Rh2S | PBE | relaxed

abc: 9.1805 9.1805 8.2823
angles: 103.31 103.31 25.64
Closest atoms and distances in Å follow each position.
Atoms (fractional coordinates):
Th1 0.0022 0.0022 0.2374  3 Ru 2.75-2.83, 1 Rh 2.94, 2 S 2.99
Th2 0.3296 0.3296 0.4210  3 Ru 2.85-2.95, 2 Rh 2.92, 1 S 2.97
Th3 0.3340 0.3340 0.9146  3 Ru 2.89-2.91, 3 Rh 2.91-2.94
Th4 0.6660 0.6660 0.0854  3 Ru 2.89-2.91, 3 Rh 2.91-2.94
Th5 0.6704 0.6704 0.5790  3 Ru 2.85-2.95, 2 Rh 2.92, 1 S 2.97
Th6 0.9978 0.9978 0.7626  3 Ru 2.75-2.83, 1 Rh 2.94, 2 S 2.99
Ru1 0.1603 0.1603 0.3334  6 Th 2.75-2.95
Ru2 0.5000 0.5000 0.0000  6 Th 2.83-2.89
Ru3 0.8397 0.8397 0.6666  6 Th 2.75-2.95
Rh1 0.1665 0.1665 0.8294  6 Th 2.91-2.94
Rh2 0.8335 0.8335 0.1706  6 Th 2.91-2.94
S1 0.5000 0.5000 0.5000  6 Th 2.97-2.99

Results
ΔE_f (raw) = -802.4 meV per atom
SG = C2/m (12)
DOS(E_F) = 0.56 states/eV per atom
Volume = 24.460 Å³/atom

Entry 16:
RbScGe | PBE | relaxed

abc: 8.0505 4.8512 12.3124
angles: 90.00 90.00 90.00
Closest atoms and distances in Å follow each position.
Atoms (fractional coordinates):
Rb1 0.1141 0.2500 0.1263  4 Ge 3.56-3.87, 1 Sc 3.84
Rb2 0.3859 0.7500 0.6263  4 Ge 3.56-3.87, 1 Sc 3.84
Rb3 0.6141 0.2500 0.3737  4 Ge 3.56-3.87, 1 Sc 3.84
Rb4 0.8859 0.7500 0.8737  4 Ge 3.56-3.87, 1 Sc 3.84
Sc1 0.0387 0.7500 0.4121  3 Ge 2.68-2.69
Sc2 0.4613 0.2500 0.9121  3 Ge 2.68-2.69
Sc3 0.5387 0.7500 0.0879  3 Ge 2.68-2.69
Sc4 0.9613 0.2500 0.5879  3 Ge 2.68-2.69
Ge1 0.1784 0.2500 0.4223  3 Sc 2.68-2.69
Ge2 0.3216 0.7500 0.9223  3 Sc 2.68-2.69
Ge3 0.6784 0.2500 0.0777  3 Sc 2.68-2.69
Ge4 0.8216 0.7500 0.5777  3 Sc 2.68-2.69

Results
Formation enthalpy at 0 K = -12.5 meV per atom
SG = Pnma (62)
DOS(E_F) = 0.00 states/eV per atom
Energy above the most stable polymorph in this dataset = 8.02 kcal/mol of atoms
Volume = 40.071 Å³/atom

Entry 17:
CuPbW2 | PBE | relaxed

abc: 5.0582 5.0582 4.5855
angles: 103.31 103.31 37.36
Closest atoms and distances in Å follow each position.
Atoms (fractional coordinates):
Cu1 0.0000 0.0000 0.0000  4 Pb 2.81, 6 W 2.84-2.87
Pb1 0.5000 0.5000 0.5000  4 Cu 2.81, 6 W 2.93-2.94
W1 0.2544 0.2544 0.7759  2 W 2.63, 3 Cu 2.84-2.87, 3 Pb 2.93-2.94
W2 0.7456 0.7456 0.2241  2 W 2.63, 3 Cu 2.84-2.87, 3 Pb 2.93-2.94

Results
Formation enthalpy at 0 K = 728.0 meV per atom
SG = C2/m (12)
DOS(E_F) = 0.54 states/eV per atom
Volume = 17.263 Å³/atom

Entry 18:
KBaAu2 | PBE | relaxed

abc: 4.7185 4.7185 8.4272
angles: 106.15 106.15 59.88
Closest atoms and distances in Å follow each position.
Atoms (fractional coordinates):
K1 0.0000 0.0000 0.0000  6 Au 3.43-3.44
Ba1 0.5000 0.5000 0.5000  6 Au 3.31-3.32
Au1 0.2454 0.2454 0.7370  3 Ba 3.31-3.32, 3 K 3.43-3.44
Au2 0.7546 0.7546 0.2630  3 Ba 3.31-3.32, 3 K 3.43-3.44

Results
Formation enthalpy at 0 K = -461.6 meV per atom
SG = C2/m (12)
DOS(E_F) = 0.62 states/eV per atom
Energy above the most stable polymorph in this dataset = 1.60 kcal/mol of atoms
Volume = 38.426 Å³/atom

Entry 19:
BiMo2PtW | PBE | relaxed

abc: 4.9708 4.9708 4.7936
angles: 90.00 90.00 90.00
Closest atoms and distances in Å follow each position.
Atoms (fractional coordinates):
Bi1 0.0000 0.0000 0.0000  2 Pt 2.40, 4 Mo 2.49
Mo1 0.0000 0.5000 0.0000  2 Bi 2.49
Mo2 0.5000 0.0000 0.0000  2 Bi 2.49
Pt1 0.0000 0.0000 0.5000  2 Bi 2.40
W1 0.5000 0.5000 0.5000  8 Mo 3.45, 4 Pt 3.51

Results
Formation enthalpy at 0 K = 2695.0 meV per atom
SG = P4/mmm (123)
DOS(E_F) = 1.67 states/eV per atom
Volume = 23.689 Å³/atom

Entry 20:
TaAl2OsRu | PBE | relaxed

abc: 4.8195 4.8195 4.5205
angles: 90.00 90.00 90.00
Closest atoms and distances in Å follow each position.
Atoms (fractional coordinates):
Ta1 0.0000 0.0000 0.0000  2 Ru 2.26, 4 Al 2.41
Al1 0.0000 0.5000 0.0000  2 Ta 2.41
Al2 0.5000 0.0000 0.0000  2 Ta 2.41
Os1 0.5000 0.5000 0.5000  8 Al 3.30, 4 Ru 3.41
Ru1 0.0000 0.0000 0.5000  2 Ta 2.26

Results
Formation enthalpy at 0 K = 1865.7 meV per atom
SG = P4/mmm (123)
DOS(E_F) = 1.29 states/eV per atom
Energy above the most stable polymorph in this dataset = 22.87 kcal/mol of atoms
Volume = 21.000 Å³/atom